Here is RbCdIn2Pb4 after structural relaxation from the Alexandria database. Energies are from PBE.

Unit cell a=5.528 b=5.528 c=10.702 alpha=75.03 beta=75.03 gamma=60.00
Positions (direct):
1 Cd 0.500 0.500 0.500
2 In 0.760 0.760 0.719
3 In 0.240 0.240 0.281
4 Rb 0.000 0.000 0.000
5 Pb 0.128 0.128 0.615
6 Pb 0.405 0.405 0.786
7 Pb 0.872 0.872 0.385
8 Pb 0.595 0.595 0.214

Values from the calculation:
The energy relative to the elements comes out at 0.003 eV/atom. The space group is R-3m (166). The value obtained for the total energy is -22.17 eV for the cell shown. As for the crystal system: trigonal.